Material: SrPPd3
Method: DFT, PBE-GGA
State: optimized geometry

Values from the calculation:
Space-group type   R-3c (167)
Calculated formation energy   -0.235 eV per atom
Final energy   -0.3505 Ry per atom
Total magnetization   0.00 μB per cell
Relative energy among the computed polymorphs   2.77 eV/f.u.

The structure in POSCAR format:
```
SrPPd3
1.0
3.947 2.279 3.835
-3.947 2.279 3.835
0.000 -4.557 3.835
Sr P Pd
2 2 6
direct
0.000 0.000 0.000 Sr
0.500 0.500 0.500 Sr
0.250 0.250 0.250 P
0.750 0.750 0.750 P
0.031 0.750 0.469 Pd
0.250 0.531 0.969 Pd
0.469 0.031 0.750 Pd
0.531 0.969 0.250 Pd
0.750 0.469 0.031 Pd
0.969 0.250 0.531 Pd
```


Material: Sr2P4Pd5
Method: DFT, PBE-GGA
State: optimized geometry

Values from the calculation:
Space-group type   Fmmm (69)
Calculated formation energy   -0.691 eV per atom
Final energy   -0.3914 Ry per atom
Total magnetization   0.00 μB per cell

The structure in POSCAR format:
```
Sr2P4Pd5
1.0
0.000 5.297 6.862
2.914 0.000 6.862
2.914 5.297 0.000
Sr P Pd
2 4 5
direct
0.144 0.144 0.856 Sr
0.856 0.856 0.144 Sr
0.217 0.532 0.468 P
0.468 0.783 0.217 P
0.532 0.217 0.783 P
0.783 0.468 0.532 P
0.000 0.000 0.500 Pd
0.250 0.250 0.250 Pd
0.500 0.500 0.000 Pd
0.500 0.500 0.500 Pd
0.750 0.750 0.750 Pd
```


Material: SrPPd3
Method: DFT, PBE-GGA
State: optimized geometry

Values from the calculation:
Space-group type   R-3 (148)
Calculated formation energy   -0.387 eV per atom
Final energy   -0.3617 Ry per atom
Total magnetization   0.00 μB per cell
Relative energy among the computed polymorphs   2.01 eV/f.u.

The structure in POSCAR format:
```
SrPPd3
1.0
2.631 1.519 7.524
-2.631 1.519 7.524
0.000 -3.039 7.524
Sr P Pd
2 2 6
direct
0.164 0.164 0.164 Sr
0.836 0.836 0.836 Sr
0.450 0.450 0.450 P
0.550 0.550 0.550 P
0.045 0.382 0.723 Pd
0.277 0.955 0.618 Pd
0.382 0.723 0.045 Pd
0.618 0.277 0.955 Pd
0.723 0.045 0.382 Pd
0.955 0.618 0.277 Pd
```


Material: SrPPd3
Method: DFT, PBE-GGA
State: optimized geometry

Values from the calculation:
Space-group type   P6_3/mmc (194)
Calculated formation energy   -0.057 eV per atom
Final energy   -0.3374 Ry per atom
Total magnetization   0.00 μB per cell
Relative energy among the computed polymorphs   3.66 eV/f.u.

The structure in POSCAR format:
```
SrPPd3
1.0
4.079 0.000 0.000
-2.040 3.533 0.000
0.000 0.000 16.285
Sr P Pd
2 2 6
direct
0.000 0.000 0.000 Sr
0.000 0.000 0.500 Sr
0.333 0.667 0.250 P
0.667 0.333 0.750 P
0.000 0.000 0.250 Pd
0.000 0.000 0.750 Pd
0.333 0.667 0.113 Pd
0.333 0.667 0.387 Pd
0.667 0.333 0.613 Pd
0.667 0.333 0.887 Pd
```


Material: Sr8PPd2
Method: DFT, PBE-GGA
State: optimized geometry

Values from the calculation:
Space-group type   P-1 (2)
Calculated formation energy   -0.421 eV per atom
Final energy   -0.2264 Ry per atom
Total magnetization   0.00 μB per cell

The structure in POSCAR format:
```
Sr8PPd2
1.0
7.426 0.000 0.000
1.224 8.063 0.000
1.254 2.209 7.765
Sr P Pd
8 1 2
direct
0.181 0.440 0.323 Sr
0.182 0.824 0.940 Sr
0.269 0.927 0.427 Sr
0.317 0.332 0.830 Sr
0.683 0.668 0.170 Sr
0.731 0.073 0.573 Sr
0.818 0.176 0.060 Sr
0.819 0.560 0.677 Sr
0.000 0.500 0.000 P
0.063 0.172 0.672 Pd
0.937 0.828 0.328 Pd
```


Material: SrPPd3
Method: DFT, PBE-GGA
State: optimized geometry

Values from the calculation:
Space-group type   Imma (74)
Calculated formation energy   -0.715 eV per atom
Final energy   -0.3858 Ry per atom
Total magnetization   0.00 μB per cell
Relative energy among the computed polymorphs   0.37 eV/f.u.

The structure in POSCAR format:
```
SrPPd3
1.0
-2.103 2.111 10.739
2.103 -2.111 10.739
2.103 2.111 -10.739
Sr P Pd
2 2 6
direct
0.414 0.164 0.250 Sr
0.586 0.836 0.750 Sr
0.151 0.401 0.750 P
0.849 0.599 0.250 P
0.041 0.291 0.750 Pd
0.203 0.953 0.250 Pd
0.296 0.546 0.750 Pd
0.704 0.454 0.250 Pd
0.797 0.047 0.750 Pd
0.959 0.709 0.250 Pd
```


Material: Sr2P2Pd
Method: DFT, PBE-GGA
State: optimized geometry

Values from the calculation:
Space-group type   C2/m (12)
Calculated formation energy   -0.980 eV per atom
Final energy   -0.3569 Ry per atom
Total magnetization   0.00 μB per cell
Relative energy among the computed polymorphs   0.00 eV/f.u.

The structure in POSCAR format:
```
Sr2P2Pd
1.0
5.714 -2.059 0.000
5.714 2.059 0.000
-3.692 0.000 10.246
Sr P Pd
4 4 2
direct
0.089 0.089 0.404 Sr
0.299 0.299 0.855 Sr
0.701 0.701 0.145 Sr
0.911 0.911 0.596 Sr
0.036 0.036 0.916 P
0.345 0.345 0.355 P
0.655 0.655 0.645 P
0.964 0.964 0.084 P
0.429 0.429 0.177 Pd
0.571 0.571 0.823 Pd
```


Material: Sr3P2Pd5
Method: DFT, PBE-GGA
State: optimized geometry

Values from the calculation:
Space-group type   Ibam (72)
Calculated formation energy   -0.574 eV per atom
Final energy   -0.3496 Ry per atom
Total magnetization   0.00 μB per cell

The structure in POSCAR format:
```
Sr3P2Pd5
1.0
-5.419 6.451 3.116
5.419 -6.451 3.116
5.419 6.451 -3.116
Sr P Pd
6 4 10
direct
0.127 0.720 0.847 Sr
0.250 0.250 0.000 Sr
0.373 0.220 0.593 Sr
0.627 0.780 0.407 Sr
0.750 0.750 0.000 Sr
0.873 0.280 0.153 Sr
0.152 0.137 0.289 P
0.348 0.637 0.985 P
0.652 0.363 0.015 P
0.848 0.863 0.711 P
0.008 0.250 0.758 Pd
0.122 0.346 0.468 Pd
0.250 0.750 0.500 Pd
0.378 0.846 0.224 Pd
0.492 0.250 0.242 Pd
0.508 0.750 0.758 Pd
0.622 0.154 0.776 Pd
0.750 0.250 0.500 Pd
0.878 0.654 0.532 Pd
0.992 0.750 0.242 Pd
```